Density functional theory data (PBE) for crystalline Y2UIn9 at its relaxed geometry.

Results
space group = No. 123

a = 4.6289 Å, b = 4.6289 Å, c = 13.9551 Å
α = 90.00°, β = 90.00°, γ = 90.00°
Fractional positions:
Y 0.0000 0.0000 0.1663
Y 0.0000 0.0000 0.8337
U 0.0000 0.0000 0.5000
In 0.0000 0.5000 0.0000
In 0.0000 0.5000 0.3340
In 0.0000 0.5000 0.6660
In 0.5000 0.0000 0.0000
In 0.5000 0.0000 0.3340
In 0.5000 0.0000 0.6660
In 0.5000 0.5000 0.1675
In 0.5000 0.5000 0.5000
In 0.5000 0.5000 0.8325



Density functional theory data (PBE) for crystalline UZnIn2 at its relaxed geometry.

Results
space group = No. 123

a = 4.5090 Å, b = 4.5090 Å, c = 4.5807 Å
α = 90.00°, β = 90.00°, γ = 90.00°
Fractional positions:
U 0.0000 0.0000 0.0000
Zn 0.5000 0.5000 0.0000
In 0.0000 0.5000 0.5000
In 0.5000 0.0000 0.5000



Density functional theory data (PBE) for crystalline UZnIn2 at its relaxed geometry.

Results
space group = No. 123

a = 3.0049 Å, b = 3.0049 Å, c = 9.7162 Å
α = 90.00°, β = 90.00°, γ = 90.00°
Fractional positions:
U 0.0000 0.0000 0.0000
Zn 0.0000 0.0000 0.5000
In 0.5000 0.5000 0.2691
In 0.5000 0.5000 0.7309



Density functional theory data (PBE) for crystalline UZn4In at its relaxed geometry.

Results
space group = No. 216

a = 5.4560 Å, b = 5.4560 Å, c = 5.4560 Å
α = 60.00°, β = 60.00°, γ = 60.00°
Fractional positions:
U 0.0000 0.0000 0.0000
Zn 0.3741 0.3741 0.3741
Zn 0.3741 0.3741 0.8777
Zn 0.3741 0.8777 0.3741
Zn 0.8777 0.3741 0.3741
In 0.7500 0.7500 0.7500



Density functional theory data (PBE) for crystalline U2ZnIn8 at its relaxed geometry.

Results
space group = No. 123

a = 4.7520 Å, b = 4.7520 Å, c = 12.0795 Å
α = 90.00°, β = 90.00°, γ = 90.00°
Fractional positions:
U 0.0000 0.0000 0.1888
U 0.0000 0.0000 0.8112
Zn 0.0000 0.0000 0.5000
In 0.0000 0.5000 0.0000
In 0.0000 0.5000 0.3704
In 0.0000 0.5000 0.6296
In 0.5000 0.0000 0.0000
In 0.5000 0.0000 0.3704
In 0.5000 0.0000 0.6296
In 0.5000 0.5000 0.1873
In 0.5000 0.5000 0.8127



Density functional theory data (PBE) for crystalline UZnIn2 at its relaxed geometry.

Results
space group = No. 166

a = 6.0229 Å, b = 6.0229 Å, c = 6.0229 Å
α = 44.47°, β = 44.47°, γ = 44.47°
Fractional positions:
U 0.0000 0.0000 0.0000
Zn 0.5000 0.5000 0.5000
In 0.2249 0.2249 0.2249
In 0.7751 0.7751 0.7751



Looking at total magnetization for the records above, in order, we have 0.22; 0.69; 0.61; 0.48; 0.52; 0.72 μB/atom.
Looking at calculated total energy for the records above, in order, we have -52.27; -17.65; -17.29; -18.21; -45.40; -16.87 eV for the cell shown.